No. 1
! AsIBr2F | the Alexandria database | meta-GGA SCAN | PBEsol geometry; values from VASP
! N(E_F) = 7.57 states/eV per cell
! crystal system = tetragonal
! mass density = 3.69 g/cm³
! uncorrected formation energy = 545.4 meV per atom
&SYSTEM
  ibrav = 0, nat = 5, ntyp = 4
/
ATOMIC_SPECIES
As 74.92 As.upf
I 126.90 I.upf
Br 79.90 Br.upf
F 19.00 F.upf
CELL_PARAMETERS angstrom
5.4652 0.0000 0.0000
0.0000 5.4652 0.0000
0.0000 0.0000 5.7406
ATOMIC_POSITIONS crystal
As 0.0000 0.0000 0.0000
I 0.0000 0.0000 0.5000
Br 0.0000 0.5000 0.5000
Br 0.5000 0.0000 0.5000
F 0.5000 0.5000 0.0000

---

No. 2
! ZrTaSi2 | the Alexandria database | meta-GGA SCAN | PBEsol geometry; values from VASP
! N(E_F) = 2.05 states/eV per cell
! crystal system = orthorhombic
! mass density = 8.54 g/cm³
! uncorrected formation energy = -627.4 meV per atom
! offset from the most stable computed form = 0 meV/atom
&SYSTEM
  ibrav = 0, nat = 4, ntyp = 3
/
ATOMIC_SPECIES
Zr 91.22 Zr.upf
Ta 180.95 Ta.upf
Si 28.09 Si.upf
CELL_PARAMETERS angstrom
3.7233 0.0000 0.0000
0.0000 1.7892 4.7921
0.0000 -1.7892 4.7921
ATOMIC_POSITIONS crystal
Zr 0.0000 0.0000 0.0000
Ta 0.5000 0.7095 0.7095
Si 0.0000 0.2751 0.2751
Si 0.5000 0.4316 0.4316

---

No. 3
! CuAuCl | the Alexandria database | meta-GGA SCAN | PBEsol geometry; values from VASP
! N(E_F) = 0.78 states/eV per cell
! crystal system = cubic
! mass density = 8.87 g/cm³
! uncorrected formation energy = 586.1 meV per atom
! offset from the most stable computed form = 682 meV/atom
&SYSTEM
  ibrav = 0, nat = 3, ntyp = 3
/
ATOMIC_SPECIES
Cu 63.55 Cu.upf
Au 196.97 Au.upf
Cl 35.45 Cl.upf
CELL_PARAMETERS angstrom
0.0000 3.0257 3.0257
3.0257 0.0000 3.0257
3.0257 3.0257 0.0000
ATOMIC_POSITIONS crystal
Cu 0.0000 0.0000 0.0000
Au 0.5000 0.5000 0.5000
Cl 0.2500 0.2500 0.2500

---

| no. | total moment (μB per formula unit) |
| --- | --- |
| 1 | 1.45 |
| 2 | 0.00 |
| 3 | 0.00 |